Here is an optimized crystal structure of Sc2AlAgH from the Alexandria database. Energies are from PBE.

The calculation puts the energy above the most stable polymorph in this dataset at 0.0 kJ per mole of atoms. The magnetic moment is 0.7 Bohr magnetons per cell.

The structure belongs to space group P4/mmm (No. 123); the cell edges are 4.418, 4.418 and 4.127 Å and the angles 90.00°, 90.00° and 90.00°. The asymmetric unit holds Sc at (0.000, 0.500, 0.000), Al at (0.000, 0.000, 0.500), Ag at (0.500, 0.500, 0.500) and H at (0.500, 0.500, 0.000).

Here is an optimized crystal structure of Al2SiAgH from the Alexandria database. Energies are from PBE.

The magnetic moment is 0.0 Bohr magnetons per cell. The value obtained for the total energy is -3.44 eV/atom.

The structure belongs to space group P4/mmm (No. 123); the cell edges are 4.241, 4.241 and 3.992 Å and the angles 90.00°, 90.00° and 90.00°. The asymmetric unit holds Al at (0.000, 0.500, 0.000), Si at (0.000, 0.000, 0.500), Ag at (0.500, 0.500, 0.500) and H at (0.500, 0.500, 0.000).

Here is an optimized crystal structure of Sr2AlAgH from the Alexandria database. Energies are from PBE.

The magnetic moment is 0.0 Bohr magnetons per cell. The value obtained for the total energy is -2.84 eV/atom.

The structure belongs to space group P4/mmm (No. 123); the cell edges are 5.437, 5.437 and 4.058 Å and the angles 90.00°, 90.00° and 90.00°. The asymmetric unit holds Sr at (0.000, 0.500, 0.000), Al at (0.000, 0.000, 0.500), Ag at (0.500, 0.500, 0.500) and H at (0.000, 0.000, 0.000).

Here is an optimized crystal structure of TaAlAgH2 from the Alexandria database. Energies are from PBE.

The magnetic moment is 1.5 Bohr magnetons per cell. The value obtained for the total energy is -4.04 eV/atom.

The structure belongs to space group P4/mmm (No. 123); the cell edges are 3.731, 3.731 and 5.282 Å and the angles 90.00°, 90.00° and 90.00°. The asymmetric unit holds Ta at (0.000, 0.000, 0.000), Al at (0.500, 0.500, 0.500), Ag at (0.500, 0.500, 0.000) and H at (0.000, 0.500, 0.500).

Here is an optimized crystal structure of Al2TcAgH from the Alexandria database. Energies are from PBE.

The magnetic moment is 0.0 Bohr magnetons per cell. The value obtained for the total energy is -4.84 eV/atom.

The structure belongs to space group P4/mmm (No. 123); the cell edges are 4.329, 4.329 and 3.396 Å and the angles 90.00°, 90.00° and 90.00°. The asymmetric unit holds Al at (0.000, 0.500, 0.000), Tc at (0.000, 0.000, 0.500), Ag at (0.500, 0.500, 0.500) and H at (0.000, 0.000, 0.000).

Here is an optimized crystal structure of AlAgH2W from the Alexandria database. Energies are from PBE.

The magnetic moment is 3.1 Bohr magnetons per cell. The value obtained for the total energy is -4.01 eV/atom.

The structure belongs to space group P4/mmm (No. 123); the cell edges are 3.720, 3.720 and 5.355 Å and the angles 90.00°, 90.00° and 90.00°. The asymmetric unit holds Al at (0.000, 0.000, 0.000), Ag at (0.000, 0.000, 0.500), H at (0.000, 0.500, 0.000) and W at (0.500, 0.500, 0.500).